1.
This record from the Alexandria database describes a relaxed structure of PmNd12Er2. The functional is PBE.

a = 6.847 Å, b = 6.847 Å, c = 25.084 Å
α = 90.00°, β = 90.00°, γ = 116.43°
Element x y z (fractional)
Pm 0.250 0.750 0.999
Pm 0.750 0.250 0.001
Nd 0.002 0.502 0.868
Nd 0.003 0.997 0.075
Nd 0.019 0.519 0.414
Nd 0.023 0.977 0.560
Nd 0.250 0.250 0.199
Nd 0.250 0.250 0.325
Nd 0.250 0.250 0.675
Nd 0.250 0.250 0.801
Nd 0.477 0.523 0.560
Nd 0.481 0.981 0.414
Nd 0.497 0.503 0.075
Nd 0.498 0.998 0.868
Nd 0.502 0.002 0.132
Nd 0.503 0.497 0.925
Nd 0.519 0.019 0.586
Nd 0.523 0.477 0.440
Nd 0.750 0.750 0.199
Nd 0.750 0.750 0.325
Nd 0.750 0.750 0.675
Nd 0.750 0.750 0.801
Nd 0.977 0.023 0.440
Nd 0.981 0.481 0.586
Nd 0.997 0.003 0.925
Nd 0.998 0.498 0.132
Er 0.250 0.750 0.267
Er 0.250 0.750 0.729
Er 0.750 0.250 0.271
Er 0.750 0.250 0.733

Calculated values
As for the formation energy: 0.15 eV/atom. The total magnetic moment comes out at 0.00 μB per atom.

2.
This record from the Alexandria database describes a relaxed structure of MgNi2S. The functional is PBE.

a = 7.726 Å, b = 7.726 Å, c = 7.726 Å
α = 147.40°, β = 147.40°, γ = 46.77°
Element x y z (fractional)
Mg 0.000 0.000 0.000
Mg 0.750 0.250 0.500
Ni 0.269 0.625 0.144
Ni 0.375 0.519 0.644
Ni 0.481 0.125 0.856
Ni 0.875 0.731 0.356
S 0.250 0.750 0.500
S 0.500 0.500 0.000

Calculated values
The calculation puts the polymorph energy (0 for the lowest one) at 0 meV per atom. The total magnetic moment comes out at 0.00 μB per atom. As for the formation energy without anion corrections: -0.72 eV/f.u.

3.
This record from the Alexandria database describes a relaxed structure of Y2Tm17. The functional is PBE.

a = 8.604 Å, b = 8.604 Å, c = 8.604 Å
α = 79.83°, β = 79.83°, γ = 79.83°
Element x y z (fractional)
Y 0.176 0.176 0.176
Y 0.824 0.824 0.824
Tm 0.000 0.500 0.500
Tm 0.134 0.134 0.647
Tm 0.134 0.647 0.134
Tm 0.200 0.500 0.800
Tm 0.200 0.800 0.500
Tm 0.353 0.866 0.866
Tm 0.401 0.401 0.401
Tm 0.500 0.000 0.500
Tm 0.500 0.200 0.800
Tm 0.500 0.500 0.000
Tm 0.500 0.800 0.200
Tm 0.599 0.599 0.599
Tm 0.647 0.134 0.134
Tm 0.800 0.200 0.500
Tm 0.800 0.500 0.200
Tm 0.866 0.353 0.866
Tm 0.866 0.866 0.353

Calculated values
As for the formation energy: 0.28 eV/atom. The total magnetic moment comes out at 0.00 μB per atom.

4.
This record from the Alexandria database describes a relaxed structure of Ca2EuEr. The functional is PBE.

a = 5.978 Å, b = 5.978 Å, c = 5.978 Å
α = 60.00°, β = 60.00°, γ = 60.00°
Element x y z (fractional)
Ca 0.250 0.250 0.250
Ca 0.750 0.750 0.750
Eu 0.000 0.000 0.000
Er 0.500 0.500 0.500

Calculated values
The calculation puts the polymorph energy (0 for the lowest one) at 30 meV per atom. As for the formation energy: 0.14 eV/atom. The total magnetic moment comes out at 1.91 μB per atom.

5.
This record from the Alexandria database describes a relaxed structure of Ho6As2Se3S. The functional is PBE.

a = 9.082 Å, b = 9.082 Å, c = 8.116 Å
α = 103.59°, β = 103.59°, γ = 25.67°
Element x y z (fractional)
Ho 0.002 0.002 0.233
Ho 0.331 0.331 0.424
Ho 0.340 0.340 0.914
Ho 0.660 0.660 0.086
Ho 0.669 0.669 0.576
Ho 0.998 0.998 0.767
As 0.166 0.166 0.332
As 0.834 0.834 0.668
Se 0.168 0.168 0.834
Se 0.500 0.500 0.500
Se 0.832 0.832 0.166
S 0.500 0.500 0.000

Calculated values
The total magnetic moment comes out at 0.00 μB per atom. As for the formation energy without anion corrections: -20.96 eV/f.u.

6.
This record from the Alexandria database describes a relaxed structure of IrRu3Se. The functional is PBE.

a = 4.710 Å, b = 4.710 Å, c = 4.710 Å
α = 90.00°, β = 90.00°, γ = 90.00°
Element x y z (fractional)
Ir 0.000 0.000 0.000
Ru 0.000 0.000 0.500
Ru 0.000 0.500 0.000
Ru 0.500 0.000 0.000
Se 0.500 0.500 0.500

Calculated values
The calculation puts the polymorph energy (0 for the lowest one) at 404 meV per atom. The total magnetic moment comes out at 0.30 μB per atom. As for the formation energy without anion corrections: 8.84 eV/f.u.

7.
This record from the Alexandria database describes a relaxed structure of Nd2SnPb. The functional is PBE.

a = 5.551 Å, b = 5.551 Å, c = 5.551 Å
α = 60.00°, β = 60.00°, γ = 60.00°
Element x y z (fractional)
Nd 0.250 0.250 0.250
Nd 0.750 0.750 0.750
Sn 0.000 0.000 0.000
Pb 0.500 0.500 0.500

Calculated values
The calculation puts the polymorph energy (0 for the lowest one) at 166 meV per atom. As for the formation energy: -0.51 eV/atom. The total magnetic moment comes out at 0.00 μB per atom.

8.
This record from the Alexandria database describes a relaxed structure of MnGa. The functional is PBE.

a = 4.333 Å, b = 4.333 Å, c = 4.883 Å
α = 90.00°, β = 90.00°, γ = 120.00°
Element x y z (fractional)
Mn 0.333 0.667 0.250
Mn 0.667 0.333 0.750
Ga 0.333 0.667 0.750
Ga 0.667 0.333 0.250

Calculated values
As for the formation energy: 0.56 eV/atom. The total magnetic moment comes out at 1.46 μB per atom.

9.
This record from the Alexandria database describes a relaxed structure of Tb2PrFe. The functional is PBE.

a = 3.392 Å, b = 3.392 Å, c = 9.212 Å
α = 90.00°, β = 90.00°, γ = 90.00°
Element x y z (fractional)
Tb 0.000 0.000 0.175
Tb 0.000 0.000 0.825
Pr 0.500 0.500 0.500
Fe 0.500 0.500 0.000

Calculated values
The calculation puts the polymorph energy (0 for the lowest one) at 0 meV per atom. As for the formation energy: 0.09 eV/atom. The total magnetic moment comes out at 0.00 μB per atom.

10.
This record from the Alexandria database describes a relaxed structure of MgCuNiIr. The functional is PBE.

a = 4.247 Å, b = 4.247 Å, c = 4.247 Å
α = 60.00°, β = 60.00°, γ = 60.00°
Element x y z (fractional)
Mg 0.000 0.000 0.000
Cu 0.750 0.750 0.750
Ni 0.250 0.250 0.250
Ir 0.500 0.500 0.500

Calculated values
As for the formation energy: -0.04 eV/atom. The total magnetic moment comes out at 0.17 μB per atom.

11.
This record from the Alexandria database describes a relaxed structure of LaPr2In2Hg2. The functional is PBE.

a = 9.865 Å, b = 9.865 Å, c = 9.865 Å
α = 29.44°, β = 29.44°, γ = 29.44°
Element x y z (fractional)
La 0.000 0.000 0.000
Pr 0.131 0.131 0.131
Pr 0.869 0.869 0.869
In 0.266 0.266 0.266
In 0.734 0.734 0.734
Hg 0.416 0.416 0.416
Hg 0.584 0.584 0.584

Calculated values
As for the formation energy: -0.34 eV/atom. The total magnetic moment comes out at 0.00 μB per atom.

12.
This record from the Alexandria database describes a relaxed structure of TaBiI2. The functional is PBE.

a = 5.267 Å, b = 5.267 Å, c = 5.267 Å
α = 60.00°, β = 60.00°, γ = 60.00°
Element x y z (fractional)
Ta 0.000 0.000 0.000
Bi 0.500 0.500 0.500
I 0.250 0.250 0.250
I 0.750 0.750 0.750

Calculated values
The calculation puts the polymorph energy (0 for the lowest one) at 554 meV per atom. The total magnetic moment comes out at 0.00 μB per atom. As for the formation energy without anion corrections: 3.62 eV/f.u.

| no. | raw total energy (eV per atom) |
| --- | --- |
| 1 | -4.585 |
| 2 | -4.501 |
| 3 | -4.403 |
| 4 | -4.568 |
| 5 | -6.026 |
| 6 | -6.266 |
| 7 | -4.819 |
| 8 | -5.538 |
| 9 | -5.531 |
| 10 | -5.126 |
| 11 | -3.282 |
| 12 | -3.803 |